# 1
4
Lattice="3.9155 0.0000 0.0000 0.0000 4.1093 0.0000 -1.9577 -2.0546 4.6058" Properties=species:S:1:pos:R:3 comment="PBEsol YScPt2, relaxed" spacegroup="Imm2 (44)" magnetic_moment_mub_per_atom=0.00 energy_ev_per_fu=-31.32 e_above_lowest_polymorph_ev_per_atom=0.175 formation_enthalpy_0k_ev_per_atom=-0.9903 pbc="T T T"
Pt 0.0000 0.0000 0.0039
Pt 1.9577 0.0000 2.3304
Y 0.0000 2.0546 2.3058
Sc 0.0000 0.0000 4.5714

# 2
10
Lattice="-0.6963 3.6638 1.5582 -6.6487 -2.1916 2.1820 2.8229 -2.1872 6.4045" Properties=species:S:1:pos:R:3 comment="PBEsol Y2ScPt2, relaxed" spacegroup="P4/mbm (127)" magnetic_moment_mub_per_atom=0.00 energy_ev_per_fu=-39.31 formation_enthalpy_0k_ev_per_atom=-1.0260 pbc="T T T"
Y -2.4196 -1.4518 7.5747
Y -4.9513 -0.7275 4.7401
Y 0.4291 0.0125 5.4045
Y -2.1026 0.7368 2.5700
Sc 0.0000 0.0000 0.0000
Sc -1.9129 -2.1894 4.2933
Pt 0.0917 -1.0942 2.6139
Pt -3.9175 -3.2846 5.9726
Pt 0.0316 -2.6729 6.2991
Pt -3.8574 -1.7060 2.2874

# 3
4
Lattice="-0.7566 0.8389 3.6197 -3.6968 -0.5409 -0.6474 0.5605 -5.4949 1.3907" Properties=species:S:1:pos:R:3 comment="PBEsol YScPt2, relaxed" spacegroup="P4mm (99)" magnetic_moment_mub_per_atom=0.00 energy_ev_per_fu=-31.22 e_above_lowest_polymorph_ev_per_atom=0.198 formation_enthalpy_0k_ev_per_atom=-0.9671 pbc="T T T"
Pt -2.0473 -1.6104 1.9314
Pt 0.5279 -5.1748 1.3097
Y -1.7709 -4.3199 2.6171
Sc 0.2381 -2.3343 0.5908

# 4
5
Lattice="-4.0530 0.7608 -2.9597 1.4218 -3.8821 -2.9449 -2.7049 -3.1805 2.8866" Properties=species:S:1:pos:R:3 comment="PBEsol YSc3Pt, relaxed" spacegroup="Pm-3m (221)" magnetic_moment_mub_per_atom=0.00 energy_ev_per_fu=-35.11 formation_enthalpy_0k_ev_per_atom=-0.3012 pbc="T T T"
Sc -2.0265 0.3804 -1.4798
Sc 0.7109 -1.9411 -1.4725
Sc -1.3525 -1.5902 1.4433
Pt 0.0000 0.0000 0.0000
Y -2.6680 -3.1509 -1.5090